Zr3Cr: optimized geometry, GGA-PBE.

```
Zr3Cr
1.0
4.393 0.000 0.000
0.000 4.393 0.000
0.000 0.000 4.393
Zr Cr
3 1
direct
0.000 0.000 0.500
0.000 0.500 0.000
0.500 0.000 0.000
0.500 0.500 0.500
```

Computed properties:
DFT formation energy: 0.236 eV per atom
raw total energy: -8.581 eV per atom
space group: Pm-3m
mass density: 6.4 Mg/m³



Zr3Cr: optimized geometry, GGA-PBE.

```
Zr3Cr
1.0
5.497 0.000 0.000
0.000 5.497 0.000
0.000 0.000 5.497
Zr Cr
6 2
direct
0.000 0.250 0.500
0.000 0.750 0.500
0.250 0.500 0.000
0.500 0.000 0.250
0.500 0.000 0.750
0.750 0.500 0.000
0.000 0.000 0.000
0.500 0.500 0.500
```

Computed properties:
DFT formation energy: 0.245 eV per atom
raw total energy: -8.572 eV per atom
space group: Pm-3n
mass density: 6.5 Mg/m³



ZrCr3: optimized geometry, GGA-PBE.

```
ZrCr3
1.0
4.265 0.000 0.000
0.000 5.156 0.000
0.000 0.000 5.538
Zr Cr
2 6
direct
0.250 0.250 0.087
0.750 0.750 0.913
0.250 0.519 0.633
0.250 0.750 0.294
0.250 0.981 0.633
0.750 0.019 0.367
0.750 0.250 0.706
0.750 0.481 0.367
```

Computed properties:
DFT formation energy: 0.349 eV per atom
raw total energy: -9.006 eV per atom
space group: Pmmn
mass density: 6.7 Mg/m³



ZrCr3: optimized geometry, GGA-PBE.

```
ZrCr3
1.0
3.008 0.000 0.000
-1.504 2.605 0.000
0.000 0.000 7.941
Zr Cr
1 3
direct
0.000 0.000 0.000
0.000 0.000 0.500
0.667 0.333 0.291
0.667 0.333 0.709
```

Computed properties:
DFT formation energy: 0.514 eV per atom
raw total energy: -8.840 eV per atom
space group: P-6m2
mass density: 6.6 Mg/m³